No. 1
First-principles (PBE) data for crystalline Ga2NiPt at its relaxed geometry, as listed in Alexandria.

POSCAR file:
```
Ga2NiPt
1.0
-1.010 -0.808 -3.155
-1.421 -3.552 1.365
-3.610 1.719 0.715
Ga Pt Ni
2 1 1
direct
0.000 0.500 0.000 Ga
0.000 0.000 0.500 Ga
0.500 0.500 0.500 Pt
0.500 0.000 0.000 Ni
```

Summary:
- crystal system = tetragonal
- SG = P4/mmm, No. 123
- density (g/cm³) = 11.61
- formation energy from the elements (eV/atom) = -0.41

=====

No. 2
First-principles (PBE) data for crystalline Tb3PrNd6 at its relaxed geometry, as listed in Alexandria.

POSCAR file:
```
Tb3PrNd6
1.0
6.535 0.000 0.000
0.000 10.294 -5.864
0.000 -2.297 11.622
Nd Pr Tb
12 2 6
direct
0.578 0.262 0.381 Nd
0.307 0.700 0.300 Nd
0.807 0.300 0.700 Nd
0.331 0.109 0.544 Nd
0.078 0.381 0.262 Nd
0.784 0.013 0.987 Nd
0.078 0.738 0.619 Nd
0.284 0.987 0.013 Nd
0.331 0.456 0.891 Nd
0.831 0.891 0.456 Nd
0.831 0.544 0.109 Nd
0.578 0.619 0.738 Nd
0.010 0.155 0.845 Pr
0.510 0.845 0.155 Pr
0.985 0.703 0.960 Tb
0.485 0.297 0.040 Tb
0.985 0.040 0.297 Tb
0.485 0.960 0.703 Tb
0.598 0.581 0.419 Tb
0.098 0.419 0.581 Tb
```

Summary:
- crystal system = orthorhombic
- distance to the lowest polymorph of the same formula (eV per formula unit) = 0.00
- SG = Cmc2_1, No. 36
- density (g/cm³) = 7.10
- formation energy from the elements (eV/atom) = 0.12

=====

No. 3
First-principles (PBE) data for crystalline Ac4SbTe2As at its relaxed geometry, as listed in Alexandria.

POSCAR file:
```
Ac4SbTe2As
1.0
-2.405 -3.644 1.707
5.990 -5.021 -2.280
1.439 2.629 7.639
Ac Te Sb As
4 2 1 1
direct
0.500 0.234 0.228 Ac
0.000 0.245 0.765 Ac
0.000 0.755 0.235 Ac
0.500 0.766 0.772 Ac
0.500 0.000 0.500 Te
0.000 0.500 0.500 Te
0.500 0.500 0.000 Sb
0.000 0.000 0.000 As
```

Summary:
- raw formation energy (eV per atom) = -1.471
- crystal system = monoclinic
- SG = P2/m, No. 10
- density (g/cm³) = 7.63

=====

No. 4
First-principles (PBE) data for crystalline YCd3Pd at its relaxed geometry, as listed in Alexandria.

POSCAR file:
```
YCd3Pd
1.0
5.441 0.000 0.000
0.000 5.441 0.000
-2.720 -2.720 9.338
Cd Y Pd
6 2 2
direct
0.293 0.293 0.587 Cd
0.125 0.874 0.747 Cd
0.126 0.378 0.253 Cd
0.126 0.875 0.253 Cd
0.707 0.707 0.413 Cd
0.622 0.874 0.747 Cd
0.546 0.046 0.092 Y
0.954 0.454 0.908 Y
0.000 0.000 0.000 Pd
0.250 0.750 0.500 Pd
```

Summary:
- crystal system = tetragonal
- distance to the lowest polymorph of the same formula (eV per formula unit) = 1.30
- SG = I-4m2, No. 119
- density (g/cm³) = 6.40
- formation energy from the elements (eV/atom) = -0.12

=====

The lowest density belongs to which entry?
YCd3Pd

=====

What is the density in the fourth record?
6.40 g/cm³